! PBE PmTlHgTe3, optimized geometry; values from VASP
&SYSTEM
  ibrav = 0, nat = 12, ntyp = 4
/
ATOMIC_SPECIES
Hg 200.59 Hg.upf
Pm 145.00 Pm.upf
Te 127.60 Te.upf
Tl 204.38 Tl.upf
CELL_PARAMETERS angstrom
4.5557 0.0000 0.0000
0.0000 9.4555 -0.1790
0.0000 -2.6831 10.2016
ATOMIC_POSITIONS crystal
Hg 0.7500 0.9057 0.3880
Hg 0.2500 0.0943 0.6120
Pm 0.7500 0.3217 0.8565
Pm 0.2500 0.6783 0.1435
Te 0.7500 0.9074 0.1194
Te 0.2500 0.7645 0.4700
Te 0.2500 0.0926 0.8806
Te 0.7500 0.2355 0.5300
Te 0.7500 0.4539 0.1633
Te 0.2500 0.5461 0.8367
Tl 0.2500 0.2123 0.2276
Tl 0.7500 0.7877 0.7724
! E = -42.370 eV/cell
! formation energy from raw total energies = -724 meV/atom
! crystal system = monoclinic